Compound: Rb2InFeBr6
Source: Alexandria via LeMat-Bulk
Functional: PBE
Structure: optimized geometry

abc: 7.813 7.813 7.813
angles: 119.89 119.89 90.20
Fractional coordinates of all 10 atoms:
Rb 0.250 0.750 0.500
Rb 0.750 0.250 0.500
In 0.000 0.000 0.000
Fe 0.500 0.500 0.000
Br 0.265 0.265 0.529
Br 0.265 0.735 0.000
Br 0.266 0.266 0.000
Br 0.734 0.734 0.000
Br 0.735 0.265 0.000
Br 0.735 0.735 0.471

Values from the calculation:
V ... 33.8 A^3/atom
M_tot ... 3.6 μB/f.u.
Formation energy without anion corrections ... -10.33 eV/f.u.

---

Compound: RbInFe2Br
Source: Alexandria via LeMat-Bulk
Functional: PBE
Structure: optimized geometry

abc: 4.543 4.543 6.001
angles: 90.00 90.00 90.00
Fractional coordinates of all 5 atoms:
Rb 0.000 0.000 0.000
In 0.500 0.500 0.000
Fe 0.000 0.500 0.500
Fe 0.500 0.000 0.500
Br 0.000 0.000 0.500

Values from the calculation:
V ... 24.8 A^3/atom
M_tot ... 4.5 μB/f.u.
Formation energy without anion corrections ... 5.00 eV/f.u.

---

Compound: ScInFeBr2
Source: Alexandria via LeMat-Bulk
Functional: PBE
Structure: optimized geometry

abc: 4.758 4.758 5.292
angles: 90.00 90.00 90.00
Fractional coordinates of all 5 atoms:
Sc 0.000 0.000 0.000
In 0.500 0.500 0.000
Fe 0.500 0.500 0.500
Br 0.000 0.500 0.500
Br 0.500 0.000 0.500

Values from the calculation:
V ... 24.0 A^3/atom
M_tot ... 0.0 μB/f.u.
Formation energy without anion corrections ... 1.56 eV/f.u.

---

Compound: InFeSeBr2
Source: Alexandria via LeMat-Bulk
Functional: PBE
Structure: optimized geometry

abc: 5.161 5.161 4.756
angles: 90.00 90.00 90.00
Fractional coordinates of all 5 atoms:
In 0.000 0.000 0.000
Fe 0.500 0.500 0.500
Se 0.500 0.500 0.000
Br 0.000 0.500 0.500
Br 0.500 0.000 0.500

Values from the calculation:
V ... 25.3 A^3/atom
M_tot ... 4.1 μB/f.u.
Formation energy without anion corrections ... -1.04 eV/f.u.

---

Compound: SrInFe2Br8
Source: Alexandria via LeMat-Bulk
Functional: PBE
Structure: optimized geometry

abc: 6.948 6.948 10.334
angles: 90.00 90.00 120.00
Fractional coordinates of all 12 atoms:
Sr 0.000 0.000 0.000
In 0.000 0.000 0.500
Fe 0.333 0.667 0.263
Fe 0.667 0.333 0.737
Br 0.001 0.338 0.192
Br 0.333 0.667 0.491
Br 0.336 0.999 0.192
Br 0.338 0.336 0.808
Br 0.662 0.664 0.192
Br 0.664 0.001 0.808
Br 0.667 0.333 0.509
Br 0.999 0.662 0.808

Values from the calculation:
V ... 36.0 A^3/atom
M_tot ... 9.0 μB/f.u.
Formation energy without anion corrections ... -10.56 eV/f.u.

---

Compound: TlInFe2Br6
Source: Alexandria via LeMat-Bulk
Functional: PBE
Structure: optimized geometry

abc: 9.929 9.929 7.561
angles: 99.32 99.32 85.42
Fractional coordinates of all 20 atoms:
Tl 0.190 0.810 0.750
Tl 0.810 0.190 0.250
In 0.399 0.601 0.250
In 0.601 0.399 0.750
Fe 0.124 0.295 0.763
Fe 0.295 0.124 0.263
Fe 0.705 0.876 0.737
Fe 0.876 0.705 0.237
Br 0.099 0.618 0.357
Br 0.103 0.191 0.035
Br 0.191 0.103 0.535
Br 0.281 0.477 0.830
Br 0.382 0.901 0.143
Br 0.477 0.281 0.330
Br 0.523 0.719 0.670
Br 0.618 0.099 0.857
Br 0.719 0.523 0.170
Br 0.809 0.897 0.465
Br 0.897 0.809 0.965
Br 0.901 0.382 0.643

Values from the calculation:
V ... 36.2 A^3/atom
M_tot ... 8.0 μB/f.u.
Formation energy without anion corrections ... -5.32 eV/f.u.